DFT (GGA-PBE) results for a relaxed structure of SrCr2B.

Results
**E_tot**: -6.09 eV per atom
**Energy of formation**: 77.8 kJ per mole of atoms
**Size of the total moment**: 6.40 μB/f.u.
**D(E_F)**: 0.809 states/eV/atom

Cell: 6.410 6.410 6.397 Å, 59.93 59.93 90.00°
Each line ends with the local moment (μB).
Atoms (fractional coordinates):
Sr (0.000, 0.000, 0.000)  0.02
Sr (0.750, 0.250, 0.500)  0.02
B (0.500, 0.500, 0.000)  -0.21
B (0.250, 0.750, 0.500)  -0.21
Cr (0.375, 0.125, 0.250)  2.94
Cr (0.375, 0.625, 0.250)  2.91
Cr (0.375, 0.625, 0.750)  2.87
Cr (0.875, 0.625, 0.750)  2.84

---

DFT (GGA-PBE) results for a relaxed structure of Sr2VCrB.

Results
**E_tot**: -4.45 eV per atom
**Energy of formation**: 125.9 kJ per mole of atoms
**Size of the total moment**: 0.82 μB/f.u.
**D(E_F)**: 3.117 states/eV/atom

Cell: 5.658 4.080 5.658 Å, 90.00 90.00 90.00°
Each line ends with the local moment (μB).
Atoms (fractional coordinates):
Sr (0.000, 0.000, 0.500)  0.01
Sr (0.500, 0.000, 0.000)  -0.02
B (0.000, 0.000, 0.000)  -0.02
V (0.000, 0.500, 0.000)  -0.30
Cr (0.500, 0.500, 0.500)  1.08

---

DFT (GGA-PBE) results for a relaxed structure of TaCrB.

Results
**E_tot**: -9.82 eV per atom
**Energy of formation**: -42.5 kJ per mole of atoms
**Energy above the most stable polymorph in this dataset**: 0.18 eV/f.u.
**Size of the total moment**: 0.00 μB/f.u.
**D(E_F)**: 0.566 states/eV/atom

Cell: 3.072 4.451 5.429 Å, 99.53 106.44 90.00°
Atoms (fractional coordinates):
Ta (0.130, 0.334, 0.261)
Ta (0.870, 0.666, 0.739)
Cr (0.415, 0.198, 0.829)
Cr (0.585, 0.802, 0.171)
B (0.231, 0.885, 0.462)
B (0.769, 0.115, 0.538)

---

DFT (GGA-PBE) results for a relaxed structure of TaCrB.

Results
**E_tot**: -9.88 eV per atom
**Energy of formation**: -48.3 kJ per mole of atoms
**Energy above the most stable polymorph in this dataset**: 0.00 eV/f.u.
**Size of the total moment**: 0.53 μB/f.u.
**D(E_F)**: 0.655 states/eV/atom

Cell: 3.177 6.189 10.594 Å, 90.00 90.00 90.00°
Each line ends with the local moment (μB).
Atoms (fractional coordinates):
Ta (0.000, 0.237, 0.952)  -0.04
Ta (0.000, 0.763, 0.048)  -0.04
Ta (0.000, 0.237, 0.548)  -0.04
Ta (0.000, 0.763, 0.452)  -0.04
Ta (0.000, 0.147, 0.250)  -0.06
Ta (0.000, 0.853, 0.750)  -0.06
Cr (0.500, 0.428, 0.124)  0.64
Cr (0.500, 0.572, 0.876)  0.64
Cr (0.500, 0.428, 0.376)  0.64
Cr (0.500, 0.572, 0.624)  0.64
Cr (0.500, 0.794, 0.250)  0.43
Cr (0.500, 0.206, 0.750)  0.43
B (0.500, 0.052, 0.087)  -0.01
B (0.500, 0.948, 0.913)  -0.01
B (0.500, 0.052, 0.413)  -0.01
B (0.500, 0.948, 0.587)  -0.01
B (0.000, 0.548, 0.250)  -0.03
B (0.000, 0.452, 0.750)  -0.03

---

> Among the records above, which one has the highest E_tot?

Sr2VCrB

---

> Which value of E_tot does entry 4 give?

-9.88 eV per atom

---

Repeat the fourth record exactly.
DFT (GGA-PBE) results for a relaxed structure of TaCrB.

Results
**E_tot**: -9.88 eV per atom
**Energy of formation**: -48.3 kJ per mole of atoms
**Energy above the most stable polymorph in this dataset**: 0.00 eV/f.u.
**Size of the total moment**: 0.53 μB/f.u.
**D(E_F)**: 0.655 states/eV/atom

Cell: 3.177 6.189 10.594 Å, 90.00 90.00 90.00°
Each line ends with the local moment (μB).
Atoms (fractional coordinates):
Ta (0.000, 0.237, 0.952)  -0.04
Ta (0.000, 0.763, 0.048)  -0.04
Ta (0.000, 0.237, 0.548)  -0.04
Ta (0.000, 0.763, 0.452)  -0.04
Ta (0.000, 0.147, 0.250)  -0.06
Ta (0.000, 0.853, 0.750)  -0.06
Cr (0.500, 0.428, 0.124)  0.64
Cr (0.500, 0.572, 0.876)  0.64
Cr (0.500, 0.428, 0.376)  0.64
Cr (0.500, 0.572, 0.624)  0.64
Cr (0.500, 0.794, 0.250)  0.43
Cr (0.500, 0.206, 0.750)  0.43
B (0.500, 0.052, 0.087)  -0.01
B (0.500, 0.948, 0.913)  -0.01
B (0.500, 0.052, 0.413)  -0.01
B (0.500, 0.948, 0.587)  -0.01
B (0.000, 0.548, 0.250)  -0.03
B (0.000, 0.452, 0.750)  -0.03